[1]
ErSnPt after structural relaxation, computed with PBE.

Properties
V	21.97	A^3/atom
DOS(E_F)	1.341	states/eV per cell
uncorrected energy	-5.65	eV/atom
size of the total moment	0.000	μB/atom

Cell: 3.444 3.444 6.069 Å, 106.48 106.48 90.00°
Fractional positions:
1 Sn 0.596 0.596 0.192
2 Er 0.302 0.302 0.604
3 Pt 0.952 0.952 0.905

[2]
Er2SnPt9 after structural relaxation, computed with PBE.

Properties
V	17.06	A^3/atom
DOS(E_F)	11.308	states/eV per cell
uncorrected energy	-6.47	eV/atom
size of the total moment	0.000	μB/atom

Cell: 4.085 4.085 12.266 Å, 90.00 90.00 90.00°
Fractional positions:
1 Pt 0.500 0.000 0.164
2 Pt 0.500 0.500 0.000
3 Pt 0.000 0.500 0.836
4 Pt 0.500 0.000 0.500
5 Pt 0.500 0.000 0.836
6 Pt 0.500 0.500 0.670
7 Pt 0.000 0.500 0.164
8 Er 0.000 0.000 0.334
9 Er 0.000 0.000 0.666
10 Sn 0.000 0.000 0.000
11 Pt 0.000 0.500 0.500
12 Pt 0.500 0.500 0.330

[3]
ErSnPt after structural relaxation, computed with PBE.

Properties
V	21.57	A^3/atom
DOS(E_F)	2.897	states/eV per cell
uncorrected energy	-5.97	eV/atom
size of the total moment	0.000	μB/atom

Cell: 3.996 7.489 7.489 Å, 120.00 90.00 90.00°
Fractional positions:
1 Sn 0.500 0.740 0.740
2 Er 0.000 0.595 0.000
3 Pt 0.500 0.667 0.333
4 Sn 0.500 0.000 0.260
5 Sn 0.500 0.260 0.000
6 Pt 0.500 0.333 0.667
7 Er 0.000 0.405 0.405
8 Er 0.000 0.000 0.595
9 Pt 0.000 0.000 0.000

[4]
ErSn2Pt after structural relaxation, computed with PBE.

Properties
V	26.53	A^3/atom
DOS(E_F)	3.313	states/eV per cell
uncorrected energy	-4.80	eV/atom
size of the total moment	0.000	μB/atom

Cell: 3.503 3.503 10.190 Å, 80.10 80.10 60.00°
Fractional positions:
1 Sn 0.896 0.896 0.312
2 Pt 0.500 0.500 0.500
3 Sn 0.104 0.104 0.688
4 Er 0.000 0.000 0.000

[5]
ErSn2Pt9 after structural relaxation, computed with PBE.

Properties
V	16.89	A^3/atom
DOS(E_F)	7.264	states/eV per cell
uncorrected energy	-6.20	eV/atom
size of the total moment	0.000	μB/atom

Cell: 4.072 4.072 12.218 Å, 90.00 90.00 90.00°
Fractional positions:
1 Pt 0.500 0.500 0.664
2 Pt 0.000 0.500 0.169
3 Pt 0.000 0.500 0.500
4 Sn 0.000 0.000 0.333
5 Pt 0.500 0.000 0.831
6 Er 0.000 0.000 0.000
7 Pt 0.000 0.500 0.831
8 Pt 0.500 0.500 0.336
9 Sn 0.000 0.000 0.667
10 Pt 0.500 0.000 0.500
11 Pt 0.500 0.000 0.169
12 Pt 0.500 0.500 0.000

[6]
ErSn2Pt after structural relaxation, computed with PBE.

Properties
V	21.90	A^3/atom
DOS(E_F)	2.633	states/eV per cell
uncorrected energy	-5.25	eV/atom
size of the total moment	0.000	μB/atom

Cell: 4.418 4.453 4.453 Å, 90.00 90.00 90.00°
Fractional positions:
1 Pt 0.500 0.000 0.000
2 Er 0.500 0.500 0.500
3 Sn 0.000 0.000 0.500
4 Sn 0.000 0.500 0.000

[7]
TbErSnPt after structural relaxation, computed with PBE.

Properties
V	23.97	A^3/atom
DOS(E_F)	1.291	states/eV per cell
uncorrected energy	-5.66	eV/atom
size of the total moment	0.000	μB/atom

Cell: 5.138 5.138 5.138 Å, 60.00 60.00 60.00°
Fractional positions:
1 Tb 0.500 0.500 0.500
2 Sn 0.750 0.750 0.750
3 Pt 0.250 0.250 0.250
4 Er 0.000 0.000 0.000

[8]
SrErPt2 after structural relaxation, computed with PBE.

Properties
V	22.39	A^3/atom
DOS(E_F)	1.711	states/eV per cell
uncorrected energy	-5.51	eV/atom
size of the total moment	0.000	μB/atom

Cell: 5.022 5.022 5.022 Å, 60.00 60.00 60.00°
Fractional positions:
1 Pt 0.250 0.250 0.250
2 Er 0.000 0.000 0.000
3 Pt 0.750 0.750 0.750
4 Sr 0.500 0.500 0.500

[9]
SrErPt2 after structural relaxation, computed with PBE.

Properties
V	24.96	A^3/atom
DOS(E_F)	1.337	states/eV per cell
uncorrected energy	-5.53	eV/atom
size of the total moment	0.000	μB/atom

Cell: 4.730 4.730 5.833 Å, 66.08 66.08 60.00°
Fractional positions:
1 Pt 0.784 0.784 0.649
2 Er 0.500 0.500 0.500
3 Pt 0.216 0.216 0.351
4 Sr 0.000 0.000 0.000

[10]
Sr3ErPt8 after structural relaxation, computed with PBE.

Properties
V	19.98	A^3/atom
DOS(E_F)	9.016	states/eV per cell
uncorrected energy	-5.74	eV/atom
size of the total moment	0.000	μB/atom

Cell: 5.542 5.542 9.563 Å, 73.16 73.16 60.00°
Fractional positions:
1 Pt 0.687 0.687 0.938
2 Pt 0.437 0.931 0.195
3 Pt 0.931 0.437 0.195
4 Sr 0.001 0.001 0.997
5 Pt 0.437 0.437 0.195
6 Er 0.876 0.876 0.373
7 Pt 0.445 0.938 0.680
8 Pt 0.938 0.938 0.680
9 Pt 0.938 0.445 0.680
10 Pt 0.188 0.188 0.437
11 Sr 0.374 0.374 0.877
12 Sr 0.499 0.499 0.504

[11]
SrEr2Pt after structural relaxation, computed with PBE.

Properties
V	34.90	A^3/atom
DOS(E_F)	2.707	states/eV per cell
uncorrected energy	-4.80	eV/atom
size of the total moment	0.000	μB/atom

Cell: 4.168 4.168 9.583 Å, 77.44 77.44 60.00°
Fractional positions:
1 Er 0.283 0.283 0.152
2 Pt 0.666 0.666 0.001
3 Er 0.050 0.050 0.850
4 Sr 0.501 0.501 0.497

[12]
SrEr2Pt9 after structural relaxation, computed with PBE.

Properties
V	18.92	A^3/atom
DOS(E_F)	9.559	states/eV per cell
uncorrected energy	-6.31	eV/atom
size of the total moment	0.000	μB/atom

Cell: 5.461 5.461 9.337 Å, 72.99 72.99 60.00°
Fractional positions:
1 Pt 0.500 0.500 0.500
2 Pt 0.919 0.411 0.259
3 Er 0.860 0.860 0.421
4 Er 0.140 0.140 0.579
5 Pt 0.332 0.332 0.003
6 Sr 0.000 0.000 0.000
7 Pt 0.411 0.411 0.259
8 Pt 0.589 0.081 0.741
9 Pt 0.589 0.589 0.741
10 Pt 0.668 0.668 0.997
11 Pt 0.411 0.919 0.259
12 Pt 0.081 0.589 0.741

[13]
SrErPt2 after structural relaxation, computed with PBE.

Properties
V	22.85	A^3/atom
DOS(E_F)	1.281	states/eV per cell
uncorrected energy	-5.64	eV/atom
size of the total moment	0.000	μB/atom

Cell: 3.525 3.525 7.356 Å, 90.00 90.00 90.00°
Fractional positions:
1 Er 0.500 0.500 0.000
2 Pt 0.000 0.000 0.789
3 Sr 0.500 0.500 0.500
4 Pt 0.000 0.000 0.211

[14]
SrEr2Pt after structural relaxation, computed with PBE.

Properties
V	35.31	A^3/atom
DOS(E_F)	3.713	states/eV per cell
uncorrected energy	-4.78	eV/atom
size of the total moment	0.000	μB/atom

Cell: 4.136 4.136 9.827 Å, 77.85 77.85 60.00°
Fractional positions:
1 Sr 0.500 0.500 0.500
2 Pt 0.000 0.000 0.000
3 Er 0.717 0.717 0.850
4 Er 0.283 0.283 0.150

[15]
Er2TaPt9 after structural relaxation, computed with PBE.

Properties
V	16.82	A^3/atom
DOS(E_F)	3.186	states/eV per cell
uncorrected energy	-7.26	eV/atom
size of the total moment	0.000	μB/atom

Cell: 4.071 4.071 12.181 Å, 90.00 90.00 90.00°
Fractional positions:
1 Pt 0.500 0.000 0.844
2 Er 0.000 0.000 0.334
3 Pt 0.500 0.500 0.000
4 Pt 0.500 0.500 0.328
5 Pt 0.000 0.500 0.156
6 Pt 0.000 0.500 0.844
7 Pt 0.500 0.000 0.156
8 Er 0.000 0.000 0.666
9 Ta 0.000 0.000 0.000
10 Pt 0.500 0.000 0.500
11 Pt 0.000 0.500 0.500
12 Pt 0.500 0.500 0.672

[16]
ErTaPt6 after structural relaxation, computed with PBE.

Properties
V	16.61	A^3/atom
DOS(E_F)	0.511	states/eV per cell
uncorrected energy	-7.49	eV/atom
size of the total moment	0.000	μB/atom

Cell: 4.050 4.050 8.104 Å, 90.00 90.00 90.00°
Fractional positions:
1 Pt 0.500 0.000 0.264
2 Pt 0.500 0.000 0.736
3 Pt 0.500 0.500 0.000
4 Er 0.000 0.000 0.000
5 Pt 0.000 0.500 0.736
6 Ta 0.000 0.000 0.500
7 Pt 0.000 0.500 0.264
8 Pt 0.500 0.500 0.500

[17]
Tb2Er3Pt2 after structural relaxation, computed with PBE.

Properties
V	26.31	A^3/atom
DOS(E_F)	8.122	states/eV per cell
uncorrected energy	-5.81	eV/atom
size of the total moment	0.001	μB/atom

Cell: 3.739 6.393 8.533 Å, 72.63 77.34 73.00°
Fractional positions:
1 Tb 0.837 0.514 0.811
2 Pt 0.172 0.894 0.761
3 Er 0.500 0.000 0.000
4 Tb 0.163 0.486 0.189
5 Er 0.615 0.205 0.565
6 Pt 0.828 0.106 0.239
7 Er 0.385 0.795 0.435

[18]
TbEr3Pt12 after structural relaxation, computed with PBE.

Properties
V	17.34	A^3/atom
DOS(E_F)	14.746	states/eV per cell
uncorrected energy	-6.73	eV/atom
size of the total moment	0.000	μB/atom

Cell: 4.114 4.114 16.388 Å, 90.00 90.00 90.00°
Fractional positions:
1 Pt 0.000 0.500 0.127
2 Pt 0.000 0.500 0.625
3 Pt 0.500 0.000 0.375
4 Pt 0.500 0.000 0.127
5 Pt 0.500 0.000 0.873
6 Pt 0.000 0.500 0.375
7 Pt 0.500 0.500 0.000
8 Pt 0.500 0.000 0.625
9 Pt 0.500 0.500 0.749
10 Tb 0.000 0.000 0.000
11 Er 0.000 0.000 0.749
12 Pt 0.500 0.500 0.251
13 Pt 0.000 0.500 0.873
14 Er 0.000 0.000 0.500
15 Pt 0.500 0.500 0.500
16 Er 0.000 0.000 0.251

[19]
Tb2ErPt2 after structural relaxation, computed with PBE.

Properties
V	23.83	A^3/atom
DOS(E_F)	6.693	states/eV per cell
uncorrected energy	-6.25	eV/atom
size of the total moment	0.000	μB/atom

Cell: 4.009 7.710 7.710 Å, 90.00 90.00 90.00°
Fractional positions:
1 Pt 0.000 0.640 0.140
2 Tb 0.500 0.839 0.339
3 Er 0.000 0.500 0.500
4 Er 0.000 0.000 0.000
5 Tb 0.500 0.661 0.839
6 Tb 0.500 0.339 0.161
7 Pt 0.000 0.860 0.640
8 Tb 0.500 0.161 0.661
9 Pt 0.000 0.140 0.360
10 Pt 0.000 0.360 0.860

[20]
TbErPt2 after structural relaxation, computed with PBE.

Properties
V	23.65	A^3/atom
DOS(E_F)	2.228	states/eV per cell
uncorrected energy	-6.46	eV/atom
size of the total moment	0.000	μB/atom

Cell: 4.055 4.055 7.045 Å, 73.27 73.27 60.00°
Fractional positions:
1 Tb 0.500 0.500 0.500
2 Pt 0.748 0.748 0.755
3 Pt 0.252 0.252 0.245
4 Er 0.000 0.000 0.000